No. 1
{
  "formula": "HfIrC3",
  "functional": "PBE",
  "state": "relaxed",
  "space_group": "Pm-3m, No. 221",
  "polymorph_energy_mev_per_atom": 0,
  "crystal_system": "cubic",
  "ef_kj_per_mol_atoms": 156.7,
  "lattice_angstrom": [[3.954, 0.000, 0.000], [0.000, 3.954, 0.000], [0.000, 0.000, 3.954]],
  "species": ["Hf", "Ir", "C", "C", "C"],
  "fractional_positions": [[0.000, 0.000, 0.000], [0.500, 0.500, 0.500], [0.000, 0.500, 0.500], [0.500, 0.000, 0.500], [0.500, 0.500, 0.000]]
}

---

No. 2
{
  "formula": "HfIrC2",
  "functional": "PBE",
  "state": "relaxed",
  "space_group": "Fm-3m, No. 225",
  "polymorph_energy_mev_per_atom": 480,
  "crystal_system": "cubic",
  "ef_kj_per_mol_atoms": 67.6,
  "lattice_angstrom": [[0.000, 2.805, 2.805], [2.805, 0.000, 2.805], [2.805, 2.805, 0.000]],
  "species": ["Hf", "Ir", "C", "C"],
  "fractional_positions": [[0.000, 0.000, 0.000], [0.500, 0.500, 0.500], [0.250, 0.250, 0.250], [0.750, 0.750, 0.750]]
}